CrFeSe2 after structural relaxation. Source: the Alexandria database, functional PBE-GGA.

Properties
As for the total energy: -25.020 eV for the cell shown. As for the space group: No. 160. As for the raw formation energy: 0.01 eV/atom. The mass density comes out at 5.88 g/cm³. The density of states at the Fermi level is 1.83 states/eV per cell. As for the energy above the most stable polymorph in this dataset: 19.5 kJ/mol of atoms. The volume comes out at 18.8 A^3/atom.

a = 9.151 Å, b = 9.151 Å, c = 9.151 Å
α = 19.55°, β = 19.55°, γ = 19.55°
Last column: magnetic moment on the atom in μB.
Fractional coordinates of all 4 atoms:
Se1 0.220 0.220 0.220  -0.14
Cr1 0.494 0.494 0.494  1.59
Fe1 0.756 0.756 0.756  2.29
Se2 0.030 0.030 0.030  -0.08


SrLiMg2In after structural relaxation. Source: the Alexandria database, functional PBE-GGA.

Properties
As for the total energy: -9.796 eV for the cell shown. As for the space group: No. 123. The formation energy is -0.05 eV/atom. The mass density comes out at 3.21 g/cm³. The density of states at the Fermi level is 2.41 states/eV per cell. The volume comes out at 26.7 A^3/atom.

a = 5.117 Å, b = 5.117 Å, c = 5.104 Å
α = 90.00°, β = 90.00°, γ = 90.00°
Fractional coordinates of all 5 atoms:
Li1 0.000 0.000 0.000
Sr1 0.500 0.500 0.500
Mg1 0.500 0.000 0.000
In1 0.000 0.000 0.500
Mg2 0.000 0.500 0.000


Cu2Sn2Ge after structural relaxation. Source: the Alexandria database, functional PBE-GGA.

Properties
As for the total energy: -40.143 eV for the cell shown. As for the space group: No. 127. The formation energy is 0.15 eV/atom. The mass density comes out at 7.55 g/cm³. The density of states at the Fermi level is 5.27 states/eV per cell. As for the energy above the most stable polymorph in this dataset: 0.0 kJ/mol of atoms. The volume comes out at 19.2 A^3/atom.

a = 6.904 Å, b = 6.904 Å, c = 4.036 Å
α = 90.00°, β = 90.00°, γ = 90.00°
Fractional coordinates of all 10 atoms:
Cu1 0.629 0.129 0.000
Ge1 0.000 0.000 0.000
Sn1 0.672 0.828 0.500
Cu2 0.129 0.371 0.000
Sn2 0.828 0.328 0.500
Cu3 0.371 0.871 0.000
Sn3 0.172 0.672 0.500
Cu4 0.871 0.629 0.000
Sn4 0.328 0.172 0.500
Ge2 0.500 0.500 0.000


Nd4Sb2AsS after structural relaxation. Source: the Alexandria database, functional PBE-GGA.

Properties
As for the total energy: -47.830 eV for the cell shown. As for the space group: No. 10. As for the raw formation energy: -1.47 eV/atom. The mass density comes out at 6.59 g/cm³. The density of states at the Fermi level is 1.58 states/eV per cell. The volume comes out at 29.2 A^3/atom.

a = 4.350 Å, b = 7.566 Å, c = 7.521 Å
α = 70.66°, β = 90.00°, γ = 90.00°
Fractional coordinates of all 8 atoms:
Nd1 0.500 0.267 0.745
Nd2 0.500 0.733 0.255
Nd3 0.000 0.267 0.244
Sb1 0.500 0.000 0.500
As1 0.000 0.500 0.500
Nd4 0.000 0.733 0.756
S1 0.500 0.500 0.000
Sb2 0.000 0.000 0.000


Hg2Sb2Au5 after structural relaxation. Source: the Alexandria database, functional PBE-GGA.

Properties
As for the total energy: -24.990 eV for the cell shown. As for the space group: No. 2. As for the raw formation energy: 0.03 eV/atom. The mass density comes out at 12.81 g/cm³. The density of states at the Fermi level is 3.21 states/eV per cell. The volume comes out at 23.5 A^3/atom.

a = 5.436 Å, b = 7.604 Å, c = 7.173 Å
α = 123.26°, β = 87.05°, γ = 117.64°
Fractional coordinates of all 9 atoms:
Au1 0.470 0.698 0.047
Hg1 0.734 0.244 0.316
Au2 0.297 0.327 0.532
Hg2 0.266 0.756 0.684
Au3 0.000 0.000 0.000
Sb1 0.051 0.804 0.217
Sb2 0.949 0.196 0.783
Au4 0.703 0.673 0.468
Au5 0.530 0.302 0.953


PrMg6Ga2 after structural relaxation. Source: the Alexandria database, functional PBE-GGA.

Properties
As for the total energy: -22.517 eV for the cell shown. As for the space group: No. 123. The formation energy is -0.24 eV/atom. The mass density comes out at 3.47 g/cm³. The density of states at the Fermi level is 2.18 states/eV per cell. The volume comes out at 22.7 A^3/atom.

a = 4.467 Å, b = 4.467 Å, c = 10.216 Å
α = 90.00°, β = 90.00°, γ = 90.00°
Fractional coordinates of all 9 atoms:
Ga1 0.500 0.500 0.121
Pr1 0.000 0.000 0.000
Mg1 0.500 0.000 0.278
Mg2 0.000 0.500 0.278
Ga2 0.500 0.500 0.879
Mg3 0.000 0.000 0.500
Mg4 0.500 0.000 0.722
Mg5 0.500 0.500 0.500
Mg6 0.000 0.500 0.722


LiCa2Os after structural relaxation. Source: the Alexandria database, functional PBE-GGA.

Properties
As for the total energy: -15.559 eV for the cell shown. As for the space group: No. 44. The formation energy is 0.40 eV/atom. The mass density comes out at 5.05 g/cm³. The density of states at the Fermi level is 4.07 states/eV per cell. The volume comes out at 22.8 A^3/atom.

a = 6.040 Å, b = 6.040 Å, c = 6.040 Å
α = 146.48°, β = 130.83°, γ = 60.82°
Fractional coordinates of all 4 atoms:
Ca1 0.743 0.243 0.500
Ca2 0.040 0.040 0.000
Os1 0.268 0.768 0.500
Li1 0.449 0.449 0.000